# AlW4Br

A geometry-optimized AlW4Br structure (GGA-PBEsol, Alexandria via LeMat-Bulk).

## Properties
The electronic total energy comes out at -9.19 eV/atom. The value obtained for the calculated density is 13.3 g/cm3. Its space group is F-43m, No. 216.

abc: 5.2932 5.2932 5.2932
angles: 60.00 60.00 60.00
Closest atoms and distances in Å follow each position.
Sites, in units of the cell vectors:
1 Al 0.0000 0.0000 0.0000  12 W 3.11, 4 Br 3.24
2 W 0.1278 0.6241 0.6241  6 W 2.63-2.67
3 W 0.6241 0.1278 0.6241  6 W 2.63-2.67
4 W 0.6241 0.6241 0.1278  6 W 2.63-2.67
5 W 0.6241 0.6241 0.6241  6 W 2.63-2.67
6 Br 0.2500 0.2500 0.2500  12 W 3.10, 4 Al 3.24



# Al2WBr

A geometry-optimized Al2WBr structure (GGA-PBEsol, Alexandria via LeMat-Bulk).

## Properties
The value obtained for the calculated density is 7.9 g/cm3. Its energy above the most stable polymorph in this dataset is 599 meV per atom. Its space group is I-4m2, No. 119.

abc: 4.8995 4.8995 4.8995
angles: 130.12 130.12 73.21
Closest atoms and distances in Å follow each position.
Sites, in units of the cell vectors:
1 Al 0.0000 0.0000 0.0000  4 Al 2.85, 4 W 2.85, 4 Br 2.92
2 Al 0.7500 0.2500 0.5000  4 Br 2.85, 4 Al 2.85, 4 W 2.92
3 W 0.2500 0.7500 0.5000  4 Br 2.85, 8 Al 2.85-2.92
4 Br 0.5000 0.5000 0.0000  8 Al 2.85-2.92, 4 W 2.85



# AlW2Br

A geometry-optimized AlW2Br structure (GGA-PBEsol, Alexandria via LeMat-Bulk).

## Properties
The value obtained for the calculated density is 11.8 g/cm3. Its energy above the most stable polymorph in this dataset is 213 meV per atom. Its space group is Immm, No. 71.

abc: 5.5344 5.5344 5.5344
angles: 150.19 126.87 62.12
Closest atoms and distances in Å follow each position.
Sites, in units of the cell vectors:
1 Al 0.0000 0.0000 0.0000  4 W 2.76, 2 Al 2.85, 4 Br 2.86
2 W 0.2499 0.7499 0.5000  2 Al 2.76, 2 Br 2.77, 6 W 2.85-2.86
3 W 0.7501 0.2501 0.5000  2 Al 2.76, 2 Br 2.77, 6 W 2.85-2.86
4 Br 0.5000 0.5000 0.0000  4 W 2.77, 2 Br 2.85, 4 Al 2.86



# AlWBr

A geometry-optimized AlWBr structure (GGA-PBEsol, Alexandria via LeMat-Bulk).

## Properties
The value obtained for the calculated density is 9.0 g/cm3. Its energy above the most stable polymorph in this dataset is 0 meV per atom. Its space group is I4mm, No. 107.

abc: 6.4502 6.4502 6.4502
angles: 153.35 153.35 38.04
Closest atoms and distances in Å follow each position.
Sites, in units of the cell vectors:
1 Al 0.0000 0.0000 0.0000  4 W 2.72, 4 Al 2.97
2 W 0.3587 0.3587 0.0000  4 Al 2.72, 4 Br 2.72, 4 W 2.97
3 Br 0.7170 0.7170 0.0000  4 W 2.72, 4 Br 2.97



# AlWBr2

A geometry-optimized AlWBr2 structure (GGA-PBEsol, Alexandria via LeMat-Bulk).

## Properties
The value obtained for the calculated density is 8.3 g/cm3. Its energy above the most stable polymorph in this dataset is 518 meV per atom. Its space group is I-4m2, No. 119.

abc: 5.1301 5.1301 5.1301
angles: 131.47 131.47 71.08
Closest atoms and distances in Å follow each position.
Sites, in units of the cell vectors:
1 Al 0.0000 0.0000 0.0000  8 Br 2.97-2.98, 4 W 2.97
2 W 0.2500 0.7500 0.5000  8 Br 2.97-2.98, 4 Al 2.97
3 Br 0.5000 0.5000 0.0000  4 Br 2.97, 4 W 2.97, 4 Al 2.98
4 Br 0.7500 0.2500 0.5000  4 Br 2.97, 4 Al 2.97, 4 W 2.98



# Al2WBr

A geometry-optimized Al2WBr structure (GGA-PBEsol, Alexandria via LeMat-Bulk).

## Properties
The value obtained for the calculated density is 7.4 g/cm3. Its energy above the most stable polymorph in this dataset is 331 meV per atom. Its space group is Pmm2, No. 25.

abc: 2.9158 4.4803 5.4491
angles: 90.00 90.00 90.00
Closest atoms and distances in Å follow each position.
Sites, in units of the cell vectors:
1 Al 0.0000 0.0000 0.0000  2 Br 2.67-2.78, 4 W 2.78, 2 Al 2.92
2 Al 0.5000 0.5000 0.3276  1 W 2.57, 4 Br 2.82
3 W 0.5000 0.5000 0.8568  5 Al 2.57-2.78
4 Br 0.0000 0.0000 0.4905  6 Al 2.67-2.82, 2 Br 2.92